[1]
Computed, not measured: an optimized crystal structure of K2Rb4CdBi2 at the PBE level of DFT.

Unit cell a=5.9165 b=9.3708 c=9.3708 alpha=72.10 beta=79.51 gamma=79.51
Closest atoms and distances in Å follow each position.
Element x y z (fractional)
1 K 0.3031 0.6386 0.6386  2 Bi 3.85-3.90, 4 Rb 4.09-4.28
2 K 0.6969 0.3614 0.3614  2 Bi 3.85-3.90, 4 Rb 4.09-4.28
3 Rb 0.1864 0.6491 0.0791  3 Bi 3.85-4.04, 1 Cd 3.88, 2 K 4.09-4.28, 1 Rb 4.21
4 Rb 0.8136 0.9209 0.3509  3 Bi 3.85-4.04, 1 Cd 3.88, 2 K 4.09-4.28, 1 Rb 4.21
5 Rb 0.8136 0.3509 0.9209  3 Bi 3.85-4.04, 1 Cd 3.88, 2 K 4.09-4.28, 1 Rb 4.21
6 Rb 0.1864 0.0791 0.6491  3 Bi 3.85-4.04, 1 Cd 3.88, 2 K 4.09-4.28, 1 Rb 4.21
7 Cd 0.5000 0.0000 0.0000  2 Bi 2.90
8 Bi 0.2885 0.1921 0.1921  1 Cd 2.90
9 Bi 0.7115 0.8079 0.8079  1 Cd 2.90

Computed properties:
**Volume**: 481.7 Å³ per cell
**Energy of formation from the pure elements**: -234 meV/atom
**Crystal system**: monoclinic
**Mass density**: 3.28 Mg/m³


[2]
Computed, not measured: an optimized crystal structure of HoTiRh2 at the PBE level of DFT.

Unit cell a=3.1802 b=4.6728 c=4.6728 alpha=90.00 beta=90.00 gamma=90.00
Closest atoms and distances in Å follow each position.
Element x y z (fractional)
1 Rh 0.0000 0.0000 0.5000  4 Ho 2.83, 4 Ti 2.83
2 Rh 0.0000 0.5000 0.0000  4 Ti 2.83, 4 Ho 2.83
3 Ho 0.5000 0.5000 0.5000  8 Rh 2.83
4 Ti 0.5000 0.0000 0.0000  8 Rh 2.83

Computed properties:
**Volume**: 69.4 Å³ per cell
**Energy of formation from the pure elements**: -701 meV/atom
**Crystal system**: tetragonal
**Excess energy over the best structure of this formula in the dataset**: 8.26 kJ per mole of atoms
**Mass density**: 10.01 Mg/m³


[3]
Computed, not measured: an optimized crystal structure of PrTh4Ge5 at the PBE level of DFT.

Unit cell a=4.2939 b=6.0913 c=11.4143 alpha=105.48 beta=100.84 gamma=90.00
Closest atoms and distances in Å follow each position.
Element x y z (fractional)
1 Pr 0.0000 0.0000 0.0000  6 Ge 3.05-3.07
2 Th 0.4005 0.4005 0.8009  6 Ge 3.04-3.05
3 Th 0.7998 0.7998 0.5996  6 Ge 3.03-3.05
4 Th 0.2002 0.2002 0.4004  6 Ge 3.03-3.05
5 Th 0.5995 0.5995 0.1991  6 Ge 3.04-3.05
6 Ge 0.6014 0.1014 0.2028  4 Th 3.03-3.05, 2 Pr 3.07
7 Ge 0.8003 0.3003 0.6006  6 Th 3.04-3.05
8 Ge 0.1997 0.6997 0.3994  6 Th 3.04-3.05
9 Ge 0.0000 0.5000 0.0000  4 Th 3.04, 2 Pr 3.05
10 Ge 0.3986 0.8986 0.7972  4 Th 3.03-3.05, 2 Pr 3.07

Computed properties:
**Volume**: 282.2 Å³ per cell
**Energy of formation from the pure elements**: -758 meV/atom
**Crystal system**: orthorhombic
**Mass density**: 8.43 Mg/m³


[4]
Computed, not measured: an optimized crystal structure of LiAgIrBr6 at the PBE level of DFT.

Unit cell a=6.6888 b=6.6888 c=12.1616 alpha=90.00 beta=90.00 gamma=120.00
Closest atoms and distances in Å follow each position.
Element x y z (fractional)
1 Li 0.3333 0.6667 0.2500  6 Br 2.68
2 Li 0.6667 0.3333 0.7500  6 Br 2.68
3 Ag 0.0000 0.0000 0.0000  6 Br 2.88
4 Ag 0.0000 0.0000 0.5000  6 Br 2.88
5 Ir 0.6667 0.3333 0.2500  6 Br 2.50
6 Ir 0.3333 0.6667 0.7500  6 Br 2.50
7 Br 0.6513 0.6308 0.1309  1 Ir 2.50, 1 Li 2.68
8 Br 0.9795 0.3487 0.1309  1 Ir 2.50, 1 Li 2.68
9 Br 0.3487 0.9795 0.6309  1 Ir 2.50, 1 Li 2.68
10 Br 0.0205 0.6513 0.8691  1 Ir 2.50, 1 Li 2.68
11 Br 0.3692 0.3487 0.3691  1 Ir 2.50, 1 Li 2.68
12 Br 0.9795 0.6308 0.3691  1 Ir 2.50, 1 Li 2.68
13 Br 0.6308 0.9795 0.8691  1 Ir 2.50, 1 Li 2.68
14 Br 0.6513 0.0205 0.3691  1 Ir 2.50, 1 Li 2.68
15 Br 0.0205 0.3692 0.6309  1 Ir 2.50, 1 Li 2.68
16 Br 0.3692 0.0205 0.1309  1 Ir 2.50, 1 Li 2.68
17 Br 0.6308 0.6513 0.6309  1 Ir 2.50, 1 Li 2.68
18 Br 0.3487 0.3692 0.8691  1 Ir 2.50, 1 Li 2.68

Computed properties:
**Volume**: 471.2 Å³ per cell
**Uncorrected formation energy**: -0.50 eV/atom
**Crystal system**: trigonal
**Mass density**: 5.54 Mg/m³


[5]
Computed, not measured: an optimized crystal structure of SiTcP4 at the PBE level of DFT.

Unit cell a=4.9598 b=4.9598 c=4.9598 alpha=60.00 beta=60.00 gamma=60.00
Closest atoms and distances in Å follow each position.
Element x y z (fractional)
1 Si 0.7500 0.7500 0.7500  12 P 2.90, 4 Tc 3.04
2 Tc 0.0000 0.0000 0.0000  12 P 2.91, 4 Si 3.04
3 P 0.8661 0.3780 0.3780  6 P 2.42-2.54
4 P 0.3780 0.3780 0.8661  6 P 2.42-2.54
5 P 0.3780 0.8661 0.3780  6 P 2.42-2.54
6 P 0.3780 0.3780 0.3780  6 P 2.42-2.54

Computed properties:
**Volume**: 86.3 Å³ per cell
**Uncorrected formation energy**: 0.85 eV/atom
**Crystal system**: cubic
**Mass density**: 4.81 Mg/m³


[6]
Computed, not measured: an optimized crystal structure of SrNd3Sm2Te6 at the PBE level of DFT.

Unit cell a=4.5033 b=9.0691 c=10.0975 alpha=103.34 beta=102.88 gamma=90.00
Closest atoms and distances in Å follow each position.
Element x y z (fractional)
1 Sr 0.5000 0.0000 0.0000  6 Te 3.22-3.24
2 Nd 0.5000 0.5000 0.0000  6 Te 3.17
3 Nd 0.8359 0.1795 0.6718  6 Te 3.15-3.27
4 Nd 0.1641 0.8205 0.3282  6 Te 3.15-3.27
5 Sm 0.8292 0.6573 0.6583  6 Te 3.12-3.24
6 Sm 0.1708 0.3427 0.3417  6 Te 3.12-3.24
7 Te 0.3304 0.9150 0.6608  3 Nd 3.18-3.27, 2 Sm 3.24, 1 Sr 3.24
8 Te 0.6657 0.5785 0.3315  3 Sm 3.12-3.13, 3 Nd 3.15-3.17
9 Te 0.6696 0.0850 0.3392  3 Nd 3.18-3.27, 2 Sm 3.24, 1 Sr 3.24
10 Te 0.0038 0.2554 0.0076  3 Nd 3.17-3.21, 1 Sm 3.19, 2 Sr 3.22
11 Te 0.9962 0.7446 0.9924  3 Nd 3.17-3.21, 1 Sm 3.19, 2 Sr 3.22
12 Te 0.3343 0.4215 0.6685  3 Sm 3.12-3.13, 3 Nd 3.15-3.17

Computed properties:
**Volume**: 390.6 Å³ per cell
**Uncorrected formation energy**: -1.45 eV/atom
**Crystal system**: monoclinic
**Mass density**: 6.75 Mg/m³


[7]
Computed, not measured: an optimized crystal structure of Er7Co2Rh2 at the PBE level of DFT.

Unit cell a=6.4087 b=6.5968 c=6.4087 alpha=90.02 beta=107.18 gamma=89.98
Closest atoms and distances in Å follow each position.
Element x y z (fractional)
1 Er 0.9998 0.2615 0.5003  2 Co 2.59
2 Er 0.5003 0.7385 0.9998  2 Co 2.59
3 Er 0.0002 0.7385 0.4997  2 Co 2.59
4 Er 0.4997 0.2615 0.0002  2 Co 2.59
5 Er 0.0000 0.0000 0.0000  2 Co 2.95
6 Er 0.5002 0.7465 0.4998  2 Co 2.77, 2 Rh 2.87
7 Er 0.4998 0.2535 0.5002  2 Co 2.77, 2 Rh 2.87
8 Co 0.7141 0.0000 0.2859  6 Er 2.59-2.77
9 Co 0.2859 0.0000 0.7141  6 Er 2.59-2.77
10 Rh 0.8116 0.5000 0.8116  1 Rh 2.87, 6 Er 2.87-3.06
11 Rh 0.1884 0.5000 0.1884  1 Rh 2.87, 6 Er 2.87-3.06

Computed properties:
**Volume**: 258.8 Å³ per cell
**Energy of formation from the pure elements**: -280 meV/atom
**Crystal system**: orthorhombic
**Mass density**: 9.59 Mg/m³


[8]
Computed, not measured: an optimized crystal structure of Pm4FeHg at the PBE level of DFT.

Unit cell a=6.2718 b=7.7338 c=7.7338 alpha=110.49 beta=99.23 gamma=99.23
Closest atoms and distances in Å follow each position.
Element x y z (fractional)
1 Pm 0.9037 0.6278 0.7964  2 Fe 3.03-3.15, 2 Hg 3.24-3.28
2 Pm 0.0398 0.9432 0.2675  2 Fe 2.73-2.74
3 Pm 0.5963 0.2036 0.3722  2 Fe 3.03-3.15, 2 Hg 3.24-3.28
4 Pm 0.4602 0.7325 0.0568  2 Fe 2.73-2.74
5 Pm 0.5398 0.2675 0.9432  2 Fe 2.73-2.74
6 Pm 0.4037 0.7964 0.6278  2 Fe 3.03-3.15, 2 Hg 3.24-3.28
7 Pm 0.9602 0.0568 0.7325  2 Fe 2.73-2.74
8 Pm 0.0963 0.3722 0.2036  2 Fe 3.03-3.15, 2 Hg 3.24-3.28
9 Fe 0.2500 0.9996 0.0004  6 Pm 2.73-3.03
10 Fe 0.7500 0.0004 0.9996  6 Pm 2.73-3.03
11 Hg 0.7500 0.6250 0.3750  8 Pm 3.24-3.39
12 Hg 0.2500 0.3750 0.6250  8 Pm 3.24-3.39

Computed properties:
**Volume**: 337.2 Å³ per cell
**Energy of formation from the pure elements**: -126 meV/atom
**Crystal system**: monoclinic
**Mass density**: 8.24 Mg/m³


[9]
Computed, not measured: an optimized crystal structure of HoErGeTe at the PBE level of DFT.

Unit cell a=4.1997 b=4.1999 c=7.5953 alpha=90.00 beta=106.05 gamma=120.00
Closest atoms and distances in Å follow each position.
Element x y z (fractional)
1 Ho 0.1122 0.9540 0.0813  3 Ge 2.86, 3 Te 3.17
2 Er 0.4932 0.1445 0.6528  3 Ge 2.89, 3 Te 3.19
3 Ge 0.3050 0.5504 0.8711  3 Ho 2.86, 3 Er 2.89
4 Te 0.9676 0.3818 0.3645  3 Ho 3.17, 3 Er 3.19

Computed properties:
**Volume**: 110.0 Å³ per cell
**Uncorrected formation energy**: -1.09 eV/atom
**Crystal system**: trigonal
**Mass density**: 8.04 Mg/m³


[10]
Computed, not measured: an optimized crystal structure of TbSm4Th2 at the PBE level of DFT.

Unit cell a=5.6652 b=5.6652 c=9.2602 alpha=107.81 beta=107.81 gamma=90.00
Closest atoms and distances in Å follow each position.
Element x y z (fractional)
1 Tb 0.0000 0.0000 0.0000  6 Sm 2.83-3.10
2 Sm 0.8142 0.8142 0.6285  1 Tb 3.10, 1 Th 3.41
3 Sm 0.1858 0.1858 0.3715  1 Tb 3.10, 1 Th 3.41
4 Sm 0.0000 0.5000 0.0000  2 Tb 2.83
5 Sm 0.5000 0.0000 0.0000  2 Tb 2.83
6 Th 0.6101 0.6101 0.2203  5 Sm 3.38-3.41, 1 Th 3.68
7 Th 0.3899 0.3899 0.7797  5 Sm 3.38-3.41, 1 Th 3.68

Computed properties:
**Volume**: 267.9 Å³ per cell
**Energy of formation from the pure elements**: 783 meV/atom
**Crystal system**: tetragonal
**Excess energy over the best structure of this formula in the dataset**: 41.36 kJ per mole of atoms
**Mass density**: 7.59 Mg/m³


[11]
Computed, not measured: an optimized crystal structure of La2AlCo at the PBE level of DFT.

Unit cell a=3.6670 b=3.6837 c=7.8944 alpha=65.79 beta=90.00 gamma=90.00
Closest atoms and distances in Å follow each position.
Element x y z (fractional)
1 Co 0.5000 0.7500 0.7500  8 La 2.93-3.20
2 Al 0.5000 0.2500 0.2500  8 La 3.27-3.28, 2 Co 3.61
3 La 0.0000 0.9908 0.9739  4 Co 2.93-3.20, 1 La 3.26, 4 Al 3.27-3.28
4 La 0.0000 0.5092 0.5261  4 Co 2.93-3.20, 1 La 3.26, 4 Al 3.27-3.28

Computed properties:
**Volume**: 97.3 Å³ per cell
**Energy of formation from the pure elements**: -123 meV/atom
**Crystal system**: monoclinic
**Excess energy over the best structure of this formula in the dataset**: 9.29 kJ per mole of atoms
**Mass density**: 6.21 Mg/m³


[12]
Computed, not measured: an optimized crystal structure of LiVAs2Se at the PBE level of DFT.

Unit cell a=4.7962 b=4.7962 c=4.8315 alpha=90.00 beta=90.00 gamma=90.00
Closest atoms and distances in Å follow each position.
Element x y z (fractional)
1 As 0.0000 0.5000 0.0000  2 V 2.40
2 As 0.5000 0.0000 0.0000  2 V 2.40
3 Li 0.5000 0.5000 0.5000  4 Se 3.39, 8 As 3.40
4 Se 0.0000 0.0000 0.5000  2 V 2.42
5 V 0.0000 0.0000 0.0000  4 As 2.40, 2 Se 2.42

Computed properties:
**Volume**: 111.1 Å³ per cell
**Uncorrected formation energy**: -0.09 eV/atom
**Crystal system**: tetragonal
**Excess energy over the best structure of this formula in the dataset**: 0.00 kJ per mole of atoms
**Mass density**: 4.28 Mg/m³


Q: volume of number 9 (HoErGeTe)?
A: 110.0 Å³ per cell